1.
{
  "formula": "MnCd2Cl",
  "functional": "PBE",
  "state": "relaxed",
  "cell": [[-2.598, -2.936, 3.449], [1.715, -4.318, -2.383], [2.505, -0.032, 1.859]],
  "species": ["Cl", "Cd", "Cd", "Mn"],
  "frac_coords": [[0.500, 0.000, 0.500], [0.500, 0.500, 0.000], [0.000, 0.000, 0.000], [0.000, 0.500, 0.500]],
  "e_above_lowest_polymorph_ev_per_atom": 0.179
}

=====

2.
{
  "formula": "Mn5Cd3Cl16",
  "functional": "PBE",
  "state": "relaxed",
  "cell": [[-6.250, 0.871, -4.261], [-6.812, -2.035, 2.727], [-1.642, 10.897, 4.399]],
  "species": ["Mn", "Mn", "Mn", "Mn", "Mn", "Cl", "Cl", "Cl", "Cl", "Cl", "Cl", "Cl", "Cl", "Cl", "Cl", "Cl", "Cl", "Cl", "Cl", "Cl", "Cl", "Cd", "Cd", "Cd"],
  "frac_coords": [[0.832, 0.337, 0.786], [0.665, 0.665, 0.523], [0.170, 0.170, 0.285], [0.337, 0.832, 0.786], [0.331, 0.331, 0.019], [0.663, 0.176, 0.905], [0.008, 0.008, 0.173], [0.832, 0.832, 0.412], [0.659, 0.659, 0.905], [0.168, 0.168, 0.900], [0.006, 0.006, 0.677], [0.028, 0.479, 0.154], [0.176, 0.663, 0.905], [0.971, 0.505, 0.656], [0.486, 0.486, 0.149], [0.839, 0.341, 0.404], [0.479, 0.028, 0.154], [0.514, 0.514, 0.660], [0.505, 0.971, 0.656], [0.341, 0.839, 0.404], [0.326, 0.326, 0.409], [0.170, 0.664, 0.288], [0.831, 0.831, 0.789], [0.664, 0.170, 0.288]]
}

=====

3.
{
  "formula": "MnCdCl2",
  "functional": "PBE",
  "state": "relaxed",
  "cell": [[-1.973, 4.956, -4.444], [-6.442, -0.254, 2.576], [-3.078, 5.622, 2.212]],
  "species": ["Cl", "Cl", "Cl", "Cl", "Cd", "Cd", "Mn", "Mn"],
  "frac_coords": [[0.375, 0.542, 0.750], [0.292, 0.625, 0.250], [0.458, 0.125, 0.250], [0.875, 0.708, 0.750], [0.000, 0.000, 0.000], [0.750, 0.250, 0.500], [0.250, 0.750, 0.500], [0.500, 0.500, 0.000]],
  "e_above_lowest_polymorph_ev_per_atom": 0.690
}

=====

4.
{
  "formula": "MnCd2Cl",
  "functional": "PBE",
  "state": "relaxed",
  "cell": [[4.828, 0.000, 0.000], [0.000, 3.173, -0.395], [0.000, 0.898, 5.932]],
  "species": ["Cl", "Mn", "Cd", "Cd"],
  "frac_coords": [[0.000, 0.740, 0.626], [0.500, 0.739, 0.594], [0.500, 0.258, 0.176], [0.000, 0.763, 0.104]],
  "e_above_lowest_polymorph_ev_per_atom": 0.104
}

=====

5.
{
  "formula": "MnCd2Cl",
  "functional": "PBE",
  "state": "relaxed",
  "cell": [[8.837, 0.032, 0.019], [8.193, 3.314, 0.019], [8.193, 1.609, 2.897]],
  "species": ["Cl", "Cd", "Cd", "Mn"],
  "frac_coords": [[0.250, 0.250, 0.250], [0.002, 0.002, 0.002], [0.498, 0.498, 0.498], [0.750, 0.750, 0.750]],
  "e_above_lowest_polymorph_ev_per_atom": 0.058
}

=====

6.
{
  "formula": "MnCdCl",
  "functional": "PBE",
  "state": "relaxed",
  "cell": [[3.356, 0.000, 0.000], [-1.678, 2.906, 0.000], [0.000, 0.000, 6.665]],
  "species": ["Mn", "Cd", "Cl"],
  "frac_coords": [[0.667, 0.333, 0.642], [0.000, 0.000, 0.949], [0.333, 0.667, 0.410]],
  "e_above_lowest_polymorph_ev_per_atom": 0.000
}

=====

7.
{
  "formula": "MnCd5Cl12",
  "functional": "PBE",
  "state": "relaxed",
  "cell": [[6.700, 0.000, 0.002], [3.350, 5.816, 0.001], [0.000, 0.000, 12.851]],
  "species": ["Cl", "Cl", "Cl", "Cl", "Cl", "Cl", "Cl", "Cl", "Cl", "Cl", "Cl", "Cl", "Mn", "Cd", "Cd", "Cd", "Cd", "Cd"],
  "frac_coords": [[0.167, 0.333, 0.387], [0.680, 0.000, 0.891], [0.166, 0.000, 0.613], [0.500, 0.667, 0.387], [0.834, 0.000, 0.387], [0.833, 0.667, 0.613], [0.321, 0.679, 0.891], [0.500, 0.333, 0.613], [0.320, 0.000, 0.109], [0.000, 0.679, 0.109], [0.000, 0.321, 0.891], [0.679, 0.321, 0.109], [0.000, 0.000, 0.000], [0.167, 0.667, 0.500], [0.667, 0.666, 0.000], [0.833, 0.333, 0.500], [0.500, 0.000, 0.500], [0.333, 0.334, 0.000]]
}

=====

8.
{
  "formula": "MnCdCl3",
  "functional": "PBE",
  "state": "relaxed",
  "cell": [[-0.053, 3.775, -3.224], [-3.953, 1.918, 2.311], [3.003, 2.592, 2.985]],
  "species": ["Cl", "Cl", "Cl", "Mn", "Cd"],
  "frac_coords": [[0.000, 0.500, 0.000], [0.500, 0.000, 0.000], [0.000, 0.000, 0.500], [0.000, 0.000, 0.000], [0.500, 0.500, 0.500]],
  "e_above_lowest_polymorph_ev_per_atom": 0.000
}

=====

9.
{
  "formula": "MnCd2Cl",
  "functional": "PBE",
  "state": "relaxed",
  "cell": [[6.640, -0.005, -0.014], [-2.521, 4.642, 0.001], [1.598, 0.872, 2.701]],
  "species": ["Cd", "Cd", "Cl", "Mn"],
  "frac_coords": [[0.000, 0.000, 0.000], [0.500, 0.000, 0.500], [0.000, 0.500, 0.500], [0.500, 0.500, 0.000]],
  "e_above_lowest_polymorph_ev_per_atom": 0.138
}

=====

10.
{
  "formula": "MnCd2Cl",
  "functional": "PBE",
  "state": "relaxed",
  "cell": [[7.276, -0.044, 0.100], [6.639, 2.978, 0.100], [1.202, 0.254, 4.081]],
  "species": ["Cl", "Cd", "Cd", "Mn"],
  "frac_coords": [[0.750, 0.750, 0.750], [0.559, 0.559, 0.441], [0.941, 0.941, 0.059], [0.250, 0.250, 0.250]],
  "e_above_lowest_polymorph_ev_per_atom": 0.096
}

=====

11.
{
  "formula": "Na2MnCdCl6",
  "functional": "PBE",
  "state": "relaxed",
  "cell": [[-3.750, -2.963, -4.896], [-5.966, -2.955, 1.577], [-6.071, 3.224, -2.082]],
  "species": ["Cl", "Cl", "Cl", "Cl", "Cl", "Cl", "Na", "Na", "Cd", "Mn"],
  "frac_coords": [[0.700, 0.083, 0.757], [0.083, 0.460, 0.757], [0.945, 0.599, 0.268], [0.599, 0.189, 0.268], [0.460, 0.700, 0.757], [0.189, 0.945, 0.268], [0.025, 0.025, 0.924], [0.523, 0.523, 0.431], [0.318, 0.318, 0.045], [0.820, 0.820, 0.541]]
}

=====

12.
{
  "formula": "NaMnCdCl5",
  "functional": "PBE",
  "state": "relaxed",
  "cell": [[-6.053, -2.947, 2.544], [5.475, -3.427, 3.173], [0.140, 8.614, 4.019]],
  "species": ["Cl", "Cl", "Cl", "Cl", "Cl", "Cl", "Cl", "Cl", "Cl", "Cl", "Mn", "Mn", "Na", "Na", "Cd", "Cd"],
  "frac_coords": [[0.938, 0.339, 0.133], [0.096, 0.904, 0.250], [0.727, 0.618, 0.440], [0.273, 0.382, 0.560], [0.618, 0.727, 0.940], [0.661, 0.062, 0.367], [0.904, 0.096, 0.750], [0.062, 0.661, 0.867], [0.339, 0.938, 0.633], [0.382, 0.273, 0.060], [0.318, 0.682, 0.750], [0.682, 0.318, 0.250], [0.344, 0.656, 0.250], [0.656, 0.344, 0.750], [0.000, 0.000, 0.500], [0.000, 0.000, 0.000]]
}

=====

13.
{
  "formula": "Na2MnCdCl8",
  "functional": "PBE",
  "state": "relaxed",
  "cell": [[-2.301, 4.431, 3.845], [-5.447, -2.597, -1.248], [0.930, -4.985, 6.296]],
  "species": ["Cl", "Cl", "Cl", "Cl", "Cl", "Cl", "Cl", "Cl", "Cd", "Na", "Na", "Mn"],
  "frac_coords": [[0.319, 0.260, 0.500], [0.681, 0.740, 0.500], [0.138, 0.794, 0.797], [0.309, 0.228, 0.000], [0.862, 0.206, 0.203], [0.691, 0.772, 0.000], [0.138, 0.793, 0.203], [0.862, 0.207, 0.797], [0.000, 0.000, 0.500], [0.500, 0.501, 0.245], [0.500, 0.499, 0.755], [0.000, 0.000, 0.000]]
}

=====

| no. | E_tot (eV/atom) | E_form (uncorrected) (eV per atom) |
| --- | --- | --- |
| 1 | -3.11 | 0.0970 |
| 2 | -4.32 | -1.0644 |
| 3 | -3.44 | 0.0006 |
| 4 | -3.19 | 0.0220 |
| 5 | -3.24 | -0.0243 |
| 6 | -4.17 | -0.1903 |
| 7 | -3.08 | -1.0858 |
| 8 | -3.80 | -0.6794 |
| 9 | -3.16 | 0.0557 |
| 10 | -3.20 | 0.0138 |
| 11 | -3.74 | -1.3555 |
| 12 | -3.82 | -1.2376 |
| 13 | -3.47 | -1.1769 |